Here is a crystal of Ta2CoP relaxed with PBEsol from the Alexandria database. Energies are from meta-GGA SCAN.

The energy relative to the elements is -0.056 eV per atom. As for the space group: No. 225. For the final energy, the calculation gives -40.27 eV/atom. For the density of states at the Fermi level, the calculation gives 3.96 states/eV per cell. The density comes out at 13.312 g cm⁻³.

The structure in POSCAR format:
```
Ta2CoP
1.0
0.000 3.043 3.043
3.043 0.000 3.043
3.043 3.043 0.000
Ta Co P
2 1 1
Direct
0.250 0.250 0.250
0.750 0.750 0.750
0.000 0.000 0.000
0.500 0.500 0.500
```